Entry 1:
Entry from the Alexandria database: Pm2Pr2Sm4Mg after structural relaxation (GGA-PBE).

- symmetry = P-1 (2)
- M_tot (μB per formula unit) = 0.000
- ΔE_f (meV per atom) = 85
- crystal system = triclinic

a b c (Å): 7.6385 8.9236 6.5615
angles (deg): 132.68 105.06 90.31
With the nearest neighbours (Å) after each atom.
Fractional coordinates of all 9 atoms:
Pm1 0.1104 0.7946 0.4252  1 Mg 3.25, 2 Pr 3.55-3.59, 3 Sm 3.58-3.59, 1 Pm 3.65
Pm2 0.8896 0.2054 0.5748  1 Mg 3.25, 2 Pr 3.55-3.59, 3 Sm 3.58-3.59, 1 Pm 3.65
Pr1 0.7805 0.3701 0.1841  1 Mg 3.30, 4 Sm 3.54-3.65, 3 Pm 3.55-3.67, 1 Pr 3.67
Pr2 0.2195 0.6299 0.8159  1 Mg 3.30, 4 Sm 3.54-3.65, 3 Pm 3.55-3.67, 1 Pr 3.67
Sm1 0.6953 0.6674 0.8765  1 Mg 3.25, 3 Sm 3.53-3.62, 1 Pr 3.54, 2 Pm 3.58
Sm2 0.5957 0.8260 0.5004  1 Mg 3.24, 4 Sm 3.44-3.62, 2 Pr 3.58-3.60, 1 Pm 3.59
Sm3 0.3047 0.3326 0.1235  1 Mg 3.25, 3 Sm 3.53-3.62, 1 Pr 3.54, 2 Pm 3.58
Sm4 0.4043 0.1740 0.4996  1 Mg 3.24, 4 Sm 3.44-3.62, 2 Pr 3.58-3.60, 1 Pm 3.59
Mg1 0.0000 0.0000 0.0000  4 Sm 3.24-3.25, 2 Pm 3.25, 2 Pr 3.30

Entry 2:
Entry from the Alexandria database: DyHoThZr after structural relaxation (GGA-PBE).

- symmetry = F-43m (216)
- M_tot (μB per formula unit) = 0.002
- ΔE_f (meV per atom) = 171
- crystal system = cubic

a b c (Å): 5.4736 5.4736 5.4736
angles (deg): 60.00 60.00 60.00
With the nearest neighbours (Å) after each atom.
Fractional coordinates of all 4 atoms:
Zr1 0.2500 0.2500 0.2500  4 Dy 3.35, 4 Th 3.35
Ho1 0.7500 0.7500 0.7500  4 Dy 3.35, 4 Th 3.35
Th1 0.5000 0.5000 0.5000  4 Zr 3.35, 4 Ho 3.35
Dy1 0.0000 0.0000 0.0000  4 Ho 3.35, 4 Zr 3.35

Entry 3:
Entry from the Alexandria database: NdPa3Sb4 after structural relaxation (GGA-PBE).

- symmetry = Cmmm (65)
- M_tot (μB per formula unit) = 2.045
- energy relative to the elements, uncorrected (meV per atom) = -610
- crystal system = orthorhombic

a b c (Å): 4.3936 7.6334 7.6335
angles (deg): 70.65 90.00 90.00
With the nearest neighbours (Å) after each atom.
Fractional coordinates of all 8 atoms:
Sb1 0.0000 0.7556 0.7444  4 Pa 3.08-3.11, 2 Nd 3.15
Sb2 0.4999 0.7523 0.2522  5 Pa 3.09-3.11, 1 Nd 3.14
Sb3 0.0000 0.2446 0.2555  4 Pa 3.08-3.11, 2 Nd 3.15
Sb4 0.5000 0.2479 0.7477  5 Pa 3.09-3.11, 1 Nd 3.14
Pa1 0.5000 0.0001 0.5000  6 Sb 3.08-3.09
Pa2 0.0000 0.0001 0.0000  6 Sb 3.11
Pa3 0.9999 0.5001 0.5000  6 Sb 3.11
Nd1 0.5000 0.5001 0.0000  6 Sb 3.14-3.15

Entry 4:
Entry from the Alexandria database: SmSnHgI6 after structural relaxation (GGA-PBE).

- symmetry = C2 (5)
- M_tot (μB per formula unit) = 0.000
- energy relative to the elements, uncorrected (meV per atom) = -773
- crystal system = monoclinic

a b c (Å): 7.9178 7.9180 7.3948
angles (deg): 90.05 89.96 60.01
With the nearest neighbours (Å) after each atom.
Fractional coordinates of all 9 atoms:
Sm1 0.3335 0.3335 0.5000  6 I 3.11
Sn1 0.6666 0.6666 0.5000  6 I 3.17
Hg1 0.0000 0.0000 0.0001  6 I 3.36
I1 0.0063 0.3456 0.2584  1 Sm 3.11, 1 Sn 3.17, 1 Hg 3.36
I2 0.3455 0.0064 0.7415  1 Sm 3.11, 1 Sn 3.17, 1 Hg 3.36
I3 0.6475 0.3465 0.7419  1 Sm 3.11, 1 Sn 3.17, 1 Hg 3.36
I4 0.0056 0.6484 0.7418  1 Sm 3.11, 1 Sn 3.17, 1 Hg 3.36
I5 0.3466 0.6474 0.2580  1 Sm 3.11, 1 Sn 3.17, 1 Hg 3.36
I6 0.6483 0.0056 0.2582  1 Sm 3.11, 1 Sn 3.17, 1 Hg 3.36

Entry 5:
Entry from the Alexandria database: RbNa after structural relaxation (GGA-PBE).

- symmetry = I-43m (217)
- M_tot (μB per formula unit) = 0.000
- ΔE_f (meV per atom) = 202
- crystal system = cubic

a b c (Å): 12.0996 12.0996 12.0996
angles (deg): 90.00 90.00 90.00
With the nearest neighbours (Å) after each atom.
Fractional coordinates of all 16 atoms:
Rb1 0.2926 0.2926 0.2926  4 Na 3.97-4.16
Rb2 0.2926 0.7074 0.7074  4 Na 3.97-4.16
Rb3 0.7074 0.2926 0.7074  4 Na 3.97-4.16
Rb4 0.7074 0.7074 0.2926  4 Na 3.97-4.16
Rb5 0.7926 0.7926 0.7926  4 Na 3.97-4.16
Rb6 0.7926 0.2074 0.2074  4 Na 3.97-4.16
Rb7 0.2074 0.7926 0.2074  4 Na 3.97-4.16
Rb8 0.2074 0.2074 0.7926  4 Na 3.97-4.16
Na1 0.1032 0.1032 0.1032  3 Na 3.53
Na2 0.1032 0.8968 0.8968  3 Na 3.53
Na3 0.8968 0.1032 0.8968  3 Na 3.53
Na4 0.8968 0.8968 0.1032  3 Na 3.53
Na5 0.6032 0.6032 0.6032  3 Na 3.53
Na6 0.6032 0.3968 0.3968  3 Na 3.53
Na7 0.3968 0.6032 0.3968  3 Na 3.53
Na8 0.3968 0.3968 0.6032  3 Na 3.53

Entry 6:
Entry from the Alexandria database: TcHg after structural relaxation (GGA-PBE).

- symmetry = P6_3/mmc (194)
- M_tot (μB per formula unit) = 0.001
- ΔE_f (meV per atom) = 1003
- crystal system = hexagonal

a b c (Å): 4.5296 4.5296 4.7416
angles (deg): 90.00 90.00 120.00
With the nearest neighbours (Å) after each atom.
Fractional coordinates of all 4 atoms:
Hg1 0.3333 0.6667 0.2500  6 Tc 2.87
Hg2 0.6667 0.3333 0.7500  6 Tc 2.87
Tc1 0.0000 0.0000 0.0000  2 Tc 2.37
Tc2 0.0000 0.0000 0.5000  2 Tc 2.37

Entry 7:
Entry from the Alexandria database: Zn2GaGe after structural relaxation (GGA-PBE).

- symmetry = I-42d (122)
- M_tot (μB per formula unit) = 0.000
- ΔE_f (meV per atom) = 126
- crystal system = tetragonal

a b c (Å): 4.1515 4.1515 8.9841
angles (deg): 76.64 76.64 90.00
With the nearest neighbours (Å) after each atom.
Fractional coordinates of all 8 atoms:
Ge1 0.0000 0.0000 0.0000  4 Zn 2.60
Ge2 0.7500 0.2500 0.5000  4 Zn 2.60
Zn1 0.6118 0.1250 0.2500  2 Ga 2.56, 2 Ge 2.60, 2 Zn 2.86
Zn2 0.1382 0.6250 0.2500  2 Ga 2.56, 2 Ge 2.60, 2 Zn 2.86
Zn3 0.3750 0.3882 0.7500  2 Ga 2.56, 2 Ge 2.60, 2 Zn 2.86
Zn4 0.8750 0.8618 0.7500  2 Ga 2.56, 2 Ge 2.60, 2 Zn 2.86
Ga1 0.5000 0.5000 0.0000  4 Zn 2.56
Ga2 0.2500 0.7500 0.5000  4 Zn 2.56

Entry 8:
Entry from the Alexandria database: CeTi2Tc after structural relaxation (GGA-PBE).

- symmetry = P4/mmm (123)
- M_tot (μB per formula unit) = 0.002
- ΔE_f (meV per atom) = -192
- crystal system = tetragonal

a b c (Å): 3.1235 3.1235 7.7553
angles (deg): 90.00 90.00 90.00
With the nearest neighbours (Å) after each atom.
Fractional coordinates of all 4 atoms:
Tc1 0.5000 0.5000 0.0000  8 Ti 2.65
Ce1 0.5000 0.5000 0.5000  4 Ce 3.12, 8 Ti 3.27
Ti1 0.0000 0.0000 0.8116  4 Tc 2.65, 1 Ti 2.92
Ti2 0.0000 0.0000 0.1884  4 Tc 2.65, 1 Ti 2.92

Entry 9:
Entry from the Alexandria database: DyPaBr2 after structural relaxation (GGA-PBE).

- symmetry = R-3m (166)
- M_tot (μB per formula unit) = 0.628
- energy relative to the elements, uncorrected (meV per atom) = -708
- crystal system = trigonal

a b c (Å): 3.4537 3.4537 10.4534
angles (deg): 80.49 80.49 60.00
With the nearest neighbours (Å) after each atom.
Fractional coordinates of all 4 atoms:
Pa1 0.0000 0.0000 0.0000  2 Br 3.00
Br1 0.0974 0.0974 0.7078  3 Dy 2.92, 1 Pa 3.00
Br2 0.9026 0.9026 0.2922  3 Dy 2.92, 1 Pa 3.00
Dy1 0.5000 0.5000 0.5000  6 Br 2.92

Entry 10:
Entry from the Alexandria database: Tl2Hg3I8 after structural relaxation (GGA-PBE).

- symmetry = C2/m (12)
- M_tot (μB per formula unit) = 0.000
- energy relative to the elements, uncorrected (meV per atom) = -388
- crystal system = monoclinic

a b c (Å): 7.7626 9.4851 9.4851
angles (deg): 72.52 76.53 76.53
With the nearest neighbours (Å) after each atom.
Fractional coordinates of all 13 atoms:
Tl1 0.4930 0.7079 0.7079  6 I 3.53-3.63
Tl2 0.5070 0.2921 0.2921  6 I 3.53-3.63
Hg1 0.5000 0.0000 0.0000  2 I 2.67
Hg2 0.0000 0.6840 0.3160  4 I 2.77-2.99
Hg3 0.0000 0.3160 0.6840  4 I 2.77-2.99
I1 0.8654 0.3940 0.3940  2 Hg 2.99
I2 0.1346 0.6060 0.6060  2 Hg 2.99
I3 0.7801 0.8497 0.8497  1 Hg 2.67
I4 0.2199 0.1503 0.1503  1 Hg 2.67
I5 0.6881 0.3401 0.8945  1 Hg 2.77
I6 0.6881 0.8945 0.3401  1 Hg 2.77
I7 0.3119 0.1055 0.6599  1 Hg 2.77
I8 0.3119 0.6599 0.1055  1 Hg 2.77

Entry 11:
Entry from the Alexandria database: Al2PdW after structural relaxation (GGA-PBE).

- symmetry = Fm-3m (225)
- M_tot (μB per formula unit) = 0.000
- ΔE_f (meV per atom) = -184
- crystal system = cubic

a b c (Å): 4.3847 4.3847 4.3847
angles (deg): 60.00 60.00 60.00
With the nearest neighbours (Å) after each atom.
Fractional coordinates of all 4 atoms:
Pd1 0.0000 0.0000 0.0000  8 Al 2.69
W1 0.5000 0.5000 0.5000  8 Al 2.69
Al1 0.2500 0.2500 0.2500  4 W 2.69, 4 Pd 2.69
Al2 0.7500 0.7500 0.7500  4 W 2.69, 4 Pd 2.69

Entry 12:
Entry from the Alexandria database: KSb3Mo after structural relaxation (GGA-PBE).

- symmetry = Pm-3m (221)
- M_tot (μB per formula unit) = 3.770
- energy relative to the elements, uncorrected (meV per atom) = 1942
- crystal system = cubic

a b c (Å): 5.7068 5.7068 5.7068
angles (deg): 90.00 90.00 90.00
With the nearest neighbours (Å) after each atom.
Fractional coordinates of all 5 atoms:
Sb1 0.0000 0.5000 0.0000  2 K 2.85
Sb2 0.0000 0.0000 0.5000  2 K 2.85
Sb3 0.5000 0.0000 0.0000  2 K 2.85
Mo1 0.5000 0.5000 0.5000  12 Sb 4.04
K1 0.0000 0.0000 0.0000  6 Sb 2.85

Entry 13:
Entry from the Alexandria database: ScAs4Ir after structural relaxation (GGA-PBE).

- symmetry = F-43m (216)
- M_tot (μB per formula unit) = 0.000
- ΔE_f (meV per atom) = 317
- crystal system = cubic

a b c (Å): 5.4112 5.4112 5.4112
angles (deg): 60.00 60.00 60.00
With the nearest neighbours (Å) after each atom.
Fractional coordinates of all 6 atoms:
Sc1 0.0000 0.0000 0.0000  12 As 3.17, 4 Ir 3.31
As1 0.8746 0.3751 0.3751  6 As 2.70-2.71
As2 0.3751 0.3751 0.8746  6 As 2.70-2.71
As3 0.3751 0.8746 0.3751  6 As 2.70-2.71
As4 0.3751 0.3751 0.3751  6 As 2.70-2.71
Ir1 0.7500 0.7500 0.7500  12 As 3.17, 4 Sc 3.31

Entry 14:
Entry from the Alexandria database: ThNb2TcC4 after structural relaxation (GGA-PBE).

- symmetry = Cmcm (63)
- M_tot (μB per formula unit) = 0.000
- ΔE_f (meV per atom) = -218
- crystal system = orthorhombic

a b c (Å): 3.3389 5.9946 11.1254
angles (deg): 90.00 90.00 106.17
With the nearest neighbours (Å) after each atom.
Fractional coordinates of all 16 atoms:
Th1 0.1023 0.2046 0.7500  6 C 2.56-2.73
Th2 0.8977 0.7954 0.2500  6 C 2.56-2.73
Nb1 0.3728 0.7457 0.5386  3 C 2.08-2.26
Nb2 0.6272 0.2543 0.0386  3 C 2.08-2.26
Nb3 0.6272 0.2543 0.4614  3 C 2.08-2.26
Nb4 0.3728 0.7457 0.9614  3 C 2.08-2.26
Tc1 0.8390 0.6780 0.7500  4 C 1.95-2.00
Tc2 0.1610 0.3220 0.2500  4 C 1.95-2.00
C1 0.2660 0.5320 0.1125  1 Tc 1.95, 1 Nb 2.08
C2 0.7340 0.4680 0.6125  1 Tc 1.95, 1 Nb 2.08
C3 0.7340 0.4680 0.8875  1 Tc 1.95, 1 Nb 2.08
C4 0.2660 0.5320 0.3875  1 Tc 1.95, 1 Nb 2.08
C5 0.0000 0.0000 0.5000  4 Nb 2.26
C6 0.0000 0.0000 0.0000  4 Nb 2.26
C7 0.4340 0.8680 0.7500  2 Tc 2.00
C8 0.5660 0.1320 0.2500  2 Tc 2.00

Entry 15:
Entry from the Alexandria database: Y6Tm2Sc after structural relaxation (GGA-PBE).

- symmetry = C2/m (12)
- M_tot (μB per formula unit) = 0.000
- ΔE_f (meV per atom) = 40
- crystal system = monoclinic

a b c (Å): 4.9611 6.1001 27.5413
angles (deg): 148.29 90.00 113.99
With the nearest neighbours (Å) after each atom.
Fractional coordinates of all 9 atoms:
Y1 0.2246 0.4492 0.4451  7 Y 3.50-3.55, 5 Tm 3.52-3.55
Y2 0.7754 0.5508 0.5549  7 Y 3.50-3.55, 5 Tm 3.52-3.55
Y3 0.8988 0.7976 0.7809  7 Y 3.48-3.55, 2 Sc 3.49, 3 Tm 3.50-3.55
Y4 0.5520 0.1039 0.1093  7 Y 3.48-3.55, 2 Tm 3.51, 3 Sc 3.51-3.52
Y5 0.1012 0.2024 0.2191  7 Y 3.48-3.55, 2 Sc 3.49, 3 Tm 3.50-3.55
Y6 0.4480 0.8961 0.8907  7 Y 3.48-3.55, 2 Tm 3.51, 3 Sc 3.51-3.52
Tm1 0.6592 0.3184 0.3303  1 Sc 3.50, 10 Y 3.50-3.55, 1 Tm 3.58
Tm2 0.3408 0.6816 0.6697  1 Sc 3.50, 10 Y 3.50-3.55, 1 Tm 3.58
Sc1 0.0000 0.0000 0.0000  10 Y 3.49-3.52, 2 Tm 3.50

Entry 16:
Entry from the Alexandria database: Rb2BeCl after structural relaxation (GGA-PBE).

- symmetry = Fm-3m (225)
- M_tot (μB per formula unit) = 0.979
- energy relative to the elements, uncorrected (meV per atom) = -113
- crystal system = cubic

a b c (Å): 5.9714 5.9714 5.9714
angles (deg): 60.00 60.00 60.00
With the nearest neighbours (Å) after each atom.
Fractional coordinates of all 4 atoms:
Be1 0.0000 0.0000 0.0000  8 Rb 3.66
Rb1 0.2500 0.2500 0.2500  4 Cl 3.66, 4 Be 3.66
Rb2 0.7500 0.7500 0.7500  4 Cl 3.66, 4 Be 3.66
Cl1 0.5000 0.5000 0.5000  8 Rb 3.66

Entry 17:
Entry from the Alexandria database: AlCdIn after structural relaxation (GGA-PBE).

- symmetry = P1 (1)
- M_tot (μB per formula unit) = 0.000
- ΔE_f (meV per atom) = 115
- crystal system = triclinic

a b c (Å): 5.6439 5.5205 5.8142
angles (deg): 120.00 103.64 61.68
With the nearest neighbours (Å) after each atom.
Fractional coordinates of all 6 atoms:
In1 0.0791 0.0977 0.8628  4 Al 2.99-3.08, 2 Cd 3.07-3.34
In2 0.7795 0.6006 0.5668  4 Al 2.99-3.05, 1 Cd 3.08
Al1 0.2811 0.9962 0.3611  2 Al 2.76, 4 Cd 2.96-2.99, 4 In 3.04-3.08
Al2 0.2830 0.4939 0.3583  2 Al 2.76, 4 Cd 2.98-3.06, 4 In 2.99-3.04
Cd1 0.4616 0.4099 0.8633  4 Al 2.96-3.06, 1 In 3.07
Cd2 0.7792 0.9026 0.1782  4 Al 2.96-3.02, 1 In 3.08

Entry 18:
Entry from the Alexandria database: Zr2GaCl after structural relaxation (GGA-PBE).

- symmetry = I-42d (122)
- M_tot (μB per formula unit) = 0.000
- energy relative to the elements, uncorrected (meV per atom) = -28
- crystal system = tetragonal

a b c (Å): 4.2859 4.2859 10.0458
angles (deg): 77.68 77.68 90.00
With the nearest neighbours (Å) after each atom.
Fractional coordinates of all 8 atoms:
Ga1 0.0000 0.0000 0.0000  4 Zr 2.83, 4 Cl 3.03
Ga2 0.7500 0.2500 0.5000  4 Zr 2.83, 4 Cl 3.03
Zr1 0.6279 0.1250 0.2500  2 Ga 2.83, 2 Cl 2.84, 4 Zr 3.01-3.05
Zr2 0.1221 0.6250 0.2500  2 Ga 2.83, 2 Cl 2.84, 4 Zr 3.01-3.05
Zr3 0.3750 0.3721 0.7500  2 Ga 2.83, 2 Cl 2.84, 4 Zr 3.01-3.05
Zr4 0.8750 0.8779 0.7500  2 Ga 2.83, 2 Cl 2.84, 4 Zr 3.01-3.05
Cl1 0.5000 0.5000 0.0000  4 Zr 2.84, 4 Ga 3.03
Cl2 0.2500 0.7500 0.5000  4 Zr 2.84, 4 Ga 3.03

Entry 19:
Entry from the Alexandria database: SrTi3Al after structural relaxation (GGA-PBE).

- symmetry = Pm-3m (221)
- M_tot (μB per formula unit) = 0.242
- ΔE_f (meV per atom) = 745
- crystal system = cubic

a b c (Å): 4.9792 4.9792 4.9792
angles (deg): 90.00 90.00 90.00
With the nearest neighbours (Å) after each atom.
Fractional coordinates of all 5 atoms:
Sr1 0.5000 0.5000 0.5000  12 Ti 3.52
Al1 0.0000 0.0000 0.0000  6 Ti 2.49
Ti1 0.0000 0.5000 0.0000  2 Al 2.49
Ti2 0.0000 0.0000 0.5000  2 Al 2.49
Ti3 0.5000 0.0000 0.0000  2 Al 2.49

Entry 20:
Entry from the Alexandria database: K2BeSb after structural relaxation (GGA-PBE).

- symmetry = P4mm (99)
- M_tot (μB per formula unit) = 0.001
- energy relative to the elements, uncorrected (meV per atom) = 227
- crystal system = tetragonal

a b c (Å): 3.7680 3.7680 10.1538
angles (deg): 90.00 90.00 89.97
With the nearest neighbours (Å) after each atom.
Fractional coordinates of all 4 atoms:
Sb1 0.0000 0.0000 0.6005  4 Be 2.69
K1 0.0000 0.0000 0.9363  1 Sb 3.41, 4 K 3.77
K2 0.5000 0.5000 0.3280  1 Be 3.12
Be1 0.5000 0.5000 0.6352  4 Sb 2.69